A relaxed structure of CaAlRe. Source: the Alexandria database, functional PBE.

Summary:
* total energy: -16.751 eV/cell
* energy of formation: 0.48 eV per atom
* density: 7.30 g/cm³
* Fermi-level density of states: 3.32 states/eV/cell
* space-group type: No. 156

Cell: 3.056 3.056 7.122 Å, 90.00 90.00 120.00°
Sites, in units of the cell vectors:
Ca  0.000  0.000  0.000
Al  0.333  0.667  0.614
Re  0.667  0.333  0.341